DFT (PBE) results for a geometry-optimized Tl3Cd2Pb2 structure.

a b c (Å): 3.485 3.600 16.496
angles (deg): 83.74 90.00 90.00
Fractional coordinates of all 7 atoms:
Tl: 0.500 0.424 0.153
Tl: 0.500 0.576 0.847
Tl: 0.000 0.000 0.000
Cd: 0.000 0.141 0.718
Cd: 0.000 0.859 0.282
Pb: 0.500 0.294 0.412
Pb: 0.500 0.706 0.588

Output
ΔH_f (0 K) ... 46 meV/atom
SG ... Cmmm
Fermi-level density of states ... 3.745 states/eV per cell
Volume ... 205.70 Å³ per cell